Below is Tb2HoTh3 after structural relaxation, with properties calculated at the PBE level.

## Properties
Energy of formation in eV/atom: 0.051
Symmetry: P2_1/m (11)
Crystal system: monoclinic

abc: 7.0835 10.7711 6.1865
angles: 125.73 89.99 90.00
Element x y z (fractional)
Tb: 0.7500 0.5007 0.5013
Tb: 0.2500 0.4993 0.4987
Tb: 0.2500 0.8336 0.1675
Tb: 0.7500 0.1664 0.8325
Ho: 0.2500 0.1670 0.8336
Ho: 0.7500 0.8330 0.1664
Th: 0.0004 0.1662 0.3329
Th: 0.5004 0.8338 0.6671
Th: 0.0000 0.5000 0.0000
Th: 0.5000 0.5000 0.0000
Th: 0.9996 0.8338 0.6671
Th: 0.4996 0.1662 0.3329

=====

Below is PuMg2Zn after structural relaxation, with properties calculated at the PBE level.

## Properties
Energy of formation in eV/atom: 0.085
Symmetry: R3m (160)
Crystal system: trigonal

abc: 3.1221 3.1221 10.5499
angles: 81.49 81.49 60.00
Element x y z (fractional)
Pu: 0.5004 0.5004 0.4988
Mg: 0.0742 0.0742 0.7775
Mg: 0.2589 0.2589 0.2234
Zn: 0.6666 0.6666 0.0003

=====

Below is MgTiBi2 after structural relaxation, with properties calculated at the PBE level.

## Properties
Energy of formation in eV/atom: -0.027
Symmetry: R3m (160)
Crystal system: trigonal

abc: 4.2461 4.2461 7.3029
angles: 73.10 73.10 60.00
Element x y z (fractional)
Mg: 0.5005 0.5005 0.4984
Ti: 0.6658 0.6658 0.0025
Bi: 0.0762 0.0762 0.7714
Bi: 0.2574 0.2574 0.2277

=====

Below is CrCuSnC2 after structural relaxation, with properties calculated at the PBE level.

## Properties
Energy of formation in eV/atom: 1.871
Symmetry: P4/mmm (123)
Crystal system: tetragonal

abc: 3.8080 4.9612 3.8080
angles: 90.00 90.00 90.00
Element x y z (fractional)
Cr: 0.0000 0.5000 0.0000
C: 0.0000 0.0000 0.5000
C: 0.5000 0.0000 0.0000
Sn: 0.5000 0.5000 0.5000
Cu: 0.0000 0.0000 0.0000

=====

Below is EuTmAgPt after structural relaxation, with properties calculated at the PBE level.

## Properties
Energy of formation in eV/atom: -0.663
Symmetry: F-43m (216)
Crystal system: cubic

abc: 5.0687 5.0687 5.0687
angles: 60.00 60.00 60.00
Element x y z (fractional)
Eu: 0.0000 0.0000 0.0000
Tm: 0.5000 0.5000 0.5000
Ag: 0.7500 0.7500 0.7500
Pt: 0.2500 0.2500 0.2500

=====

Below is Sr2LiGa5 after structural relaxation, with properties calculated at the PBE level.

## Properties
Energy of formation in eV/atom: -0.372
Symmetry: Cmcm (63)
Crystal system: orthorhombic

abc: 4.5071 8.9926 9.4633
angles: 90.00 90.00 104.51
Element x y z (fractional)
Sr: 0.7955 0.5910 0.7500
Sr: 0.2045 0.4090 0.2500
Sr: 0.0000 0.0000 0.0000
Sr: 0.0000 0.0000 0.5000
Li: 0.4419 0.8838 0.7500
Li: 0.5581 0.1162 0.2500
Ga: 0.1906 0.3812 0.8926
Ga: 0.8094 0.6188 0.1074
Ga: 0.1906 0.3812 0.6074
Ga: 0.8094 0.6188 0.3926
Ga: 0.3537 0.7075 0.9821
Ga: 0.6463 0.2925 0.0179
Ga: 0.3537 0.7075 0.5179
Ga: 0.6463 0.2925 0.4821
Ga: 0.5936 0.1871 0.7500
Ga: 0.4064 0.8129 0.2500

=====

Below is Dy3Ho8Tm2 after structural relaxation, with properties calculated at the PBE level.

## Properties
Energy of formation in eV/atom: 0.239
Symmetry: Cmmm (65)
Crystal system: orthorhombic

abc: 5.5648 7.5733 10.6496
angles: 110.84 90.01 90.00
Element x y z (fractional)
Dy: 0.5000 0.0000 0.0000
Dy: 0.0000 0.2859 0.0000
Dy: 0.0000 0.7141 0.0000
Ho: 0.0003 0.6693 0.3386
Ho: 0.9997 0.3307 0.6614
Ho: 0.9999 0.1335 0.2671
Ho: 0.0001 0.8665 0.7329
Ho: 0.4999 0.6020 0.7822
Ho: 0.4999 0.1802 0.7822
Ho: 0.5001 0.8198 0.2178
Ho: 0.5001 0.3980 0.2178
Tm: 0.4996 0.2412 0.4825
Tm: 0.5004 0.7588 0.5175

=====

Below is Li3Er3TaSe8 after structural relaxation, with properties calculated at the PBE level.

## Properties
E_form (uncorrected) in kJ/mol of atoms: -141
Symmetry: R-3m (166)
Crystal system: trigonal

abc: 7.9119 7.9113 7.9664
angles: 119.79 90.00 120.00
Element x y z (fractional)
Li: 0.0000 0.0000 0.0000
Li: 0.0000 0.5000 0.0000
Li: 0.5000 0.5000 0.0000
Er: 0.5000 0.0000 0.5000
Er: 0.5000 0.5000 0.5000
Er: 0.0000 0.5000 0.5000
Ta: 0.0000 0.0000 0.5000
Se: 0.2482 0.4963 0.2446
Se: 0.7518 0.5037 0.7554
Se: 0.7632 0.5264 0.2586
Se: 0.2368 0.4736 0.7414
Se: 0.7632 0.9953 0.2587
Se: 0.2368 0.0047 0.7413
Se: 0.2320 0.9953 0.2587
Se: 0.7680 0.0047 0.7413

=====

Below is NdGdYHo after structural relaxation, with properties calculated at the PBE level.

## Properties
Energy of formation in eV/atom: 0.107
Symmetry: F-43m (216)
Crystal system: cubic

abc: 5.7202 5.7202 5.7202
angles: 60.00 60.00 60.00
Element x y z (fractional)
Y: 0.7500 0.7500 0.7500
Gd: 0.5000 0.5000 0.5000
Nd: 0.0000 0.0000 0.0000
Ho: 0.2500 0.2500 0.2500

=====

Below is InSe3S after structural relaxation, with properties calculated at the PBE level.

## Properties
E_form (uncorrected) in kJ/mol of atoms: 29
Symmetry: Pm-3m (221)
Crystal system: cubic

abc: 4.9472 4.9472 4.9472
angles: 90.00 90.00 90.00
Element x y z (fractional)
S: 0.0000 0.0000 0.0000
Se: 0.0000 0.5000 0.0000
Se: 0.0000 0.0000 0.5000
Se: 0.5000 0.0000 0.0000
In: 0.5000 0.5000 0.5000

=====

Below is ScAlPt after structural relaxation, with properties calculated at the PBE level.

## Properties
Energy of formation in eV/atom: -0.298
Symmetry: F-43m (216)
Crystal system: cubic

abc: 4.4434 4.4434 4.4434
angles: 60.00 60.00 60.00
Element x y z (fractional)
Sc: 0.7500 0.7500 0.7500
Al: 0.0000 0.0000 0.0000
Pt: 0.5000 0.5000 0.5000

=====

Below is Ge3PdBr after structural relaxation, with properties calculated at the PBE level.

## Properties
E_form (uncorrected) in kJ/mol of atoms: 22
Symmetry: Pm-3m (221)
Crystal system: cubic

abc: 4.9522 4.9522 4.9522
angles: 90.00 90.00 90.00
Element x y z (fractional)
Ge: 0.0000 0.5000 0.0000
Ge: 0.0000 0.0000 0.5000
Ge: 0.5000 0.0000 0.0000
Br: 0.5000 0.5000 0.5000
Pd: 0.0000 0.0000 0.0000

=====

Respective uncorrected energy values: -5.966 -4.614 -4.340 -5.363 -6.572 -2.924 -4.328 -5.404 -7.366 -3.162 -5.670 -3.916 eV/atom.